Record 1
{
  "formula": "MgAl3Ga3",
  "functional": "GGA-PBE",
  "state": "relaxed",
  "final_energy_ev_per_atom": -2.6715,
  "cell": [[7.1496, 0.0000, 0.0000], [0.0000, 7.1496, 0.0000], [0.0000, 0.0000, 7.1496]],
  "species": ["Ga", "Al", "Ga", "Ga", "Al", "Ga", "Al", "Mg", "Al", "Al", "Mg", "Al", "Ga", "Ga"],
  "fractional_positions": [[0.0000, 0.5000, 0.7500], [0.0000, 0.2500, 0.5000], [0.0000, 0.5000, 0.2500], [0.5000, 0.7500, 0.0000], [0.5000, 0.0000, 0.2500], [0.2500, 0.0000, 0.5000], [0.7500, 0.5000, 0.0000], [0.0000, 0.0000, 0.0000], [0.2500, 0.5000, 0.0000], [0.0000, 0.7500, 0.5000], [0.5000, 0.5000, 0.5000], [0.5000, 0.0000, 0.7500], [0.5000, 0.2500, 0.0000], [0.7500, 0.0000, 0.5000]]
}


Record 2
{
  "formula": "LiLaDyHg",
  "functional": "GGA-PBE",
  "state": "relaxed",
  "final_energy_ev_per_atom": -3.1355,
  "cell": [[-0.8302, -0.7302, 5.2556], [0.9624, -4.7898, 2.2307], [4.1773, -0.6270, 3.3168]],
  "species": ["Dy", "La", "Hg", "Li"],
  "fractional_positions": [[0.7500, 0.7500, 0.7500], [0.2500, 0.2500, 0.2500], [0.5000, 0.5000, 0.5000], [0.0000, 0.0000, 0.0000]]
}


For reference, DFT formation energy by record: 0.457 -0.199 eV per atom.